An optimized crystal structure of Ba3PdCl, computed with PBE-GGA.

Summary:
* space group: Pm-3m
* energy above the lowest structure with this stoichiometry: 359 meV/atom
* formation energy from raw total energies: -0.600 eV per atom

a b c (Å): 6.2737 6.2737 6.2737
angles (deg): 90.00 90.00 90.00
Element x y z (fractional)
Ba (0.0000, 0.0000, 0.5000)
Ba (0.0000, 0.5000, 0.0000)
Ba (0.5000, 0.0000, 0.0000)
Pd (0.0000, 0.0000, 0.0000)
Cl (0.5000, 0.5000, 0.5000)


An optimized crystal structure of BaPdCl5, computed with PBE-GGA.

Summary:
* space group: C2/c
* formation energy from raw total energies: -1.319 eV per atom

a b c (Å): 7.4443 7.4443 9.9542
angles (deg): 109.54 109.54 53.51
Element x y z (fractional)
Ba (0.0002, 0.9998, 0.2500)
Ba (0.9998, 0.0002, 0.7500)
Pd (0.5000, 0.5000, 0.0000)
Pd (0.5000, 0.5000, 0.5000)
Cl (0.1150, 0.6214, 0.4338)
Cl (0.1145, 0.6231, 0.9345)
Cl (0.3769, 0.8855, 0.5655)
Cl (0.3786, 0.8850, 0.0662)
Cl (0.5004, 0.4996, 0.2500)
Cl (0.4996, 0.5004, 0.7500)
Cl (0.6214, 0.1150, 0.9338)
Cl (0.6231, 0.1145, 0.4345)
Cl (0.8855, 0.3769, 0.0655)
Cl (0.8850, 0.3786, 0.5662)


An optimized crystal structure of Ba2PdCl, computed with PBE-GGA.

Summary:
* space group: I-42d
* energy above the lowest structure with this stoichiometry: 213 meV/atom
* formation energy from raw total energies: -1.003 eV per atom

a b c (Å): 8.7993 8.7993 8.7993
angles (deg): 131.76 131.76 70.61
Element x y z (fractional)
Ba (0.1145, 0.6250, 0.9895)
Ba (0.3750, 0.3645, 0.4895)
Ba (0.6355, 0.1250, 0.0105)
Ba (0.8750, 0.8855, 0.5105)
Pd (0.0000, 0.0000, 0.0000)
Pd (0.7500, 0.2500, 0.5000)
Cl (0.2500, 0.7500, 0.5000)
Cl (0.5000, 0.5000, 0.0000)


An optimized crystal structure of BaPdCl4, computed with PBE-GGA.

Summary:
* space group: I-4
* energy above the lowest structure with this stoichiometry: 2 meV/atom
* formation energy from raw total energies: -1.494 eV per atom

a b c (Å): 6.3921 6.3921 6.3921
angles (deg): 111.59 111.59 105.31
Element x y z (fractional)
Ba (0.0000, 0.0000, 0.0000)
Pd (0.2500, 0.7500, 0.5000)
Cl (0.0189, 0.9771, 0.4983)
Cl (0.0229, 0.5212, 0.0418)
Cl (0.4788, 0.5206, 0.5017)
Cl (0.4794, 0.9811, 0.9582)


An optimized crystal structure of BaPdCl4, computed with PBE-GGA.

Summary:
* space group: Pbcn
* energy above the lowest structure with this stoichiometry: 0 meV/atom
* formation energy from raw total energies: -1.497 eV per atom

a b c (Å): 7.0116 12.6913 7.7145
angles (deg): 90.00 90.00 90.00
Element x y z (fractional)
Ba (0.0000, 0.1474, 0.2500)
Ba (0.0000, 0.8526, 0.7500)
Ba (0.5000, 0.3526, 0.7500)
Ba (0.5000, 0.6474, 0.2500)
Pd (0.0000, 0.5000, 0.0000)
Pd (0.0000, 0.5000, 0.5000)
Pd (0.5000, 0.0000, 0.0000)
Pd (0.5000, 0.0000, 0.5000)
Cl (0.1132, 0.3277, 0.5272)
Cl (0.1132, 0.6723, 0.0272)
Cl (0.2063, 0.0631, 0.5953)
Cl (0.2063, 0.9369, 0.0953)
Cl (0.2937, 0.4369, 0.0953)
Cl (0.2937, 0.5631, 0.5953)
Cl (0.3868, 0.1723, 0.0272)
Cl (0.3868, 0.8277, 0.5272)
Cl (0.6132, 0.1723, 0.4728)
Cl (0.6132, 0.8277, 0.9728)
Cl (0.7063, 0.4369, 0.4047)
Cl (0.7063, 0.5631, 0.9047)
Cl (0.7937, 0.0631, 0.9047)
Cl (0.7937, 0.9369, 0.4047)
Cl (0.8868, 0.3277, 0.9728)
Cl (0.8868, 0.6723, 0.4728)


An optimized crystal structure of Ba2Pd2Cl, computed with PBE-GGA.

Summary:
* space group: P4/mbm
* energy above the lowest structure with this stoichiometry: 333 meV/atom
* formation energy from raw total energies: -0.812 eV per atom

a b c (Å): 8.5910 8.5910 4.0295
angles (deg): 90.00 90.00 90.00
Element x y z (fractional)
Ba (0.1882, 0.3118, 0.0000)
Ba (0.3118, 0.8118, 0.0000)
Ba (0.6882, 0.1882, 0.0000)
Ba (0.8118, 0.6882, 0.0000)
Pd (0.1085, 0.6085, 0.5000)
Pd (0.3915, 0.1085, 0.5000)
Pd (0.6085, 0.8915, 0.5000)
Pd (0.8915, 0.3915, 0.5000)
Cl (0.0000, 0.0000, 0.5000)
Cl (0.5000, 0.5000, 0.5000)


An optimized crystal structure of Ba6Pd2Cl, computed with PBE-GGA.

Summary:
* space group: R3
* formation energy from raw total energies: -0.674 eV per atom

a b c (Å): 8.9115 8.9115 8.9115
angles (deg): 53.31 53.31 53.31
Element x y z (fractional)
Ba (0.0009, 0.3400, 0.6591)
Ba (0.1850, 0.8160, 0.5019)
Ba (0.3400, 0.6591, 0.0009)
Ba (0.5019, 0.1850, 0.8160)
Ba (0.6591, 0.0009, 0.3400)
Ba (0.8160, 0.5019, 0.1850)
Pd (0.4138, 0.4138, 0.4138)
Pd (0.5872, 0.5872, 0.5872)
Cl (0.0829, 0.0829, 0.0829)


An optimized crystal structure of BaPd2Cl6, computed with PBE-GGA.

Summary:
* space group: C2/c
* formation energy from raw total energies: -1.145 eV per atom

a b c (Å): 8.8741 8.8741 7.6717
angles (deg): 90.64 90.64 54.83
Element x y z (fractional)
Ba (0.2479, 0.7521, 0.7500)
Ba (0.7521, 0.2479, 0.2500)
Pd (0.2520, 0.2525, 0.4895)
Pd (0.2525, 0.2520, 0.9895)
Pd (0.7475, 0.7480, 0.0105)
Pd (0.7480, 0.7475, 0.5105)
Cl (0.0885, 0.4181, 0.7403)
Cl (0.0925, 0.1151, 0.9911)
Cl (0.1151, 0.0925, 0.4911)
Cl (0.3862, 0.4133, 0.4825)
Cl (0.4133, 0.3862, 0.9825)
Cl (0.4181, 0.0885, 0.2403)
Cl (0.5819, 0.9115, 0.7597)
Cl (0.5867, 0.6138, 0.0175)
Cl (0.6138, 0.5867, 0.5175)
Cl (0.8849, 0.9075, 0.5089)
Cl (0.9075, 0.8849, 0.0089)
Cl (0.9115, 0.5819, 0.2597)


An optimized crystal structure of Ba3PdCl, computed with PBE-GGA.

Summary:
* space group: P2_1/m
* energy above the lowest structure with this stoichiometry: 0 meV/atom
* formation energy from raw total energies: -0.959 eV per atom

a b c (Å): 7.6909 4.5671 12.3436
angles (deg): 90.00 101.91 90.00
Element x y z (fractional)
Ba (0.0152, 0.2500, 0.3158)
Ba (0.2570, 0.2500, 0.9965)
Ba (0.4765, 0.2500, 0.6915)
Ba (0.5235, 0.7500, 0.3085)
Ba (0.7430, 0.7500, 0.0035)
Ba (0.9848, 0.7500, 0.6842)
Pd (0.3605, 0.7500, 0.8389)
Pd (0.6395, 0.2500, 0.1611)
Cl (0.2418, 0.7500, 0.4918)
Cl (0.7582, 0.2500, 0.5082)


An optimized crystal structure of Ba6PdPt2Cl3, computed with PBE-GGA.

Summary:
* space group: C2/m
* formation energy from raw total energies: -1.323 eV per atom

a b c (Å): 10.6259 10.6259 9.6247
angles (deg): 107.45 107.45 24.63
Element x y z (fractional)
Ba (0.0067, 0.0067, 0.2385)
Ba (0.3265, 0.3265, 0.4335)
Ba (0.3377, 0.3377, 0.9000)
Ba (0.6623, 0.6623, 0.1000)
Ba (0.6735, 0.6735, 0.5665)
Ba (0.9933, 0.9933, 0.7615)
Pd (0.5000, 0.5000, 0.0000)
Pt (0.1663, 0.1663, 0.3317)
Pt (0.8337, 0.8337, 0.6683)
Cl (0.1659, 0.1659, 0.8326)
Cl (0.5000, 0.5000, 0.5000)
Cl (0.8341, 0.8341, 0.1674)


An optimized crystal structure of Ba4PdPtCl2, computed with PBE-GGA.

Summary:
* space group: P2/m
* formation energy from raw total energies: -1.297 eV per atom

a b c (Å): 7.8692 4.5343 8.4834
angles (deg): 90.00 107.87 90.00
Element x y z (fractional)
Ba (0.2383, 0.0000, 0.2228)
Ba (0.2556, 0.5000, 0.7762)
Ba (0.7444, 0.5000, 0.2238)
Ba (0.7617, 0.0000, 0.7772)
Pd (0.5000, 0.0000, 0.0000)
Pt (0.0000, 0.5000, 0.0000)
Cl (0.0000, 0.0000, 0.5000)
Cl (0.5000, 0.5000, 0.5000)


An optimized crystal structure of Rb2BaPdCl8, computed with PBE-GGA.

Summary:
* space group: P-3m1
* formation energy from raw total energies: -1.395 eV per atom

a b c (Å): 6.9800 6.9800 8.2239
angles (deg): 90.00 90.00 120.00
Element x y z (fractional)
Rb (0.3333, 0.6667, 0.3492)
Rb (0.6667, 0.3333, 0.6508)
Ba (0.0000, 0.0000, 0.0000)
Pd (0.0000, 0.0000, 0.5000)
Cl (0.1562, 0.3124, 0.6768)
Cl (0.1562, 0.8438, 0.6768)
Cl (0.3124, 0.1562, 0.3232)
Cl (0.3333, 0.6667, 0.9692)
Cl (0.6667, 0.3333, 0.0308)
Cl (0.6876, 0.8438, 0.6768)
Cl (0.8438, 0.1562, 0.3232)
Cl (0.8438, 0.6876, 0.3232)


An optimized crystal structure of Ba8PdRh3Cl4, computed with PBE-GGA.

Summary:
* space group: R-3m
* formation energy from raw total energies: -1.079 eV per atom

a b c (Å): 9.4896 9.4896 9.4896
angles (deg): 57.03 57.03 57.03
Element x y z (fractional)
Ba (0.2309, 0.7448, 0.7449)
Ba (0.2405, 0.2405, 0.2405)
Ba (0.2551, 0.2552, 0.7691)
Ba (0.2551, 0.7691, 0.2551)
Ba (0.7449, 0.2309, 0.7449)
Ba (0.7449, 0.7449, 0.2309)
Ba (0.7595, 0.7595, 0.7595)
Ba (0.7691, 0.2551, 0.2551)
Pd (0.5000, 0.5000, 0.5000)
Rh (0.0000, 0.0000, 0.5000)
Rh (0.0000, 0.5000, 0.0000)
Rh (0.5000, 0.0000, 0.0000)
Cl (0.0000, 0.0000, 0.0000)
Cl (0.0000, 0.5000, 0.5000)
Cl (0.5000, 0.0000, 0.5000)
Cl (0.5000, 0.5000, 0.0000)


An optimized crystal structure of Ba4PdRhCl2, computed with PBE-GGA.

Summary:
* space group: P2/m
* formation energy from raw total energies: -1.130 eV per atom

a b c (Å): 7.8420 4.5309 8.4148
angles (deg): 90.00 107.97 90.00
Element x y z (fractional)
Ba (0.2327, 0.0000, 0.2219)
Ba (0.2495, 0.5000, 0.7773)
Ba (0.7505, 0.5000, 0.2227)
Ba (0.7673, 0.0000, 0.7781)
Pd (0.5000, 0.0000, 0.0000)
Rh (0.0000, 0.5000, 0.0000)
Cl (0.0000, 0.0000, 0.5000)
Cl (0.5000, 0.5000, 0.5000)


An optimized crystal structure of Ba6Pd2SCl3, computed with PBE-GGA.

Summary:
* space group: C2/m
* formation energy from raw total energies: -1.439 eV per atom

a b c (Å): 7.9605 7.9605 8.3389
angles (deg): 99.16 99.16 120.00
Element x y z (fractional)
Ba (0.0917, 0.4256, 0.7754)
Ba (0.2403, 0.2403, 0.2239)
Ba (0.4256, 0.0917, 0.7754)
Ba (0.5744, 0.9083, 0.2246)
Ba (0.7597, 0.7597, 0.7761)
Ba (0.9083, 0.5744, 0.2246)
Pd (0.1670, 0.8330, 0.0000)
Pd (0.8330, 0.1670, 0.0000)
S (0.5000, 0.5000, 0.0000)
Cl (0.0000, 0.0000, 0.5000)
Cl (0.3375, 0.6625, 0.5000)
Cl (0.6625, 0.3375, 0.5000)


An optimized crystal structure of Ba4PdSeCl2, computed with PBE-GGA.

Summary:
* space group: P2/m
* formation energy from raw total energies: -1.549 eV per atom

a b c (Å): 8.0988 4.5756 8.2321
angles (deg): 90.00 106.98 90.00
Element x y z (fractional)
Ba (0.2286, 0.0000, 0.2534)
Ba (0.2334, 0.5000, 0.7362)
Ba (0.7666, 0.5000, 0.2638)
Ba (0.7714, 0.0000, 0.7466)
Pd (0.0000, 0.0000, 0.5000)
Se (0.0000, 0.5000, 0.0000)
Cl (0.5000, 0.0000, 0.0000)
Cl (0.5000, 0.5000, 0.5000)


An optimized crystal structure of Ba2SnPdCl, computed with PBE-GGA.

Summary:
* space group: P4/mmm
* formation energy from raw total energies: -0.725 eV per atom

a b c (Å): 6.1038 6.1038 4.6527
angles (deg): 90.00 90.00 90.00
Element x y z (fractional)
Ba (0.0000, 0.5000, 0.0000)
Ba (0.5000, 0.0000, 0.0000)
Sn (0.0000, 0.0000, 0.5000)
Pd (0.5000, 0.5000, 0.5000)
Cl (0.5000, 0.5000, 0.0000)


An optimized crystal structure of BaSrPdCl, computed with PBE-GGA.

Summary:
* space group: F-43m
* formation energy from raw total energies: -0.992 eV per atom

a b c (Å): 5.5238 5.5238 5.5238
angles (deg): 60.00 60.00 60.00
Element x y z (fractional)
Ba (0.0000, 0.0000, 0.0000)
Sr (0.5000, 0.5000, 0.5000)
Pd (0.2500, 0.2500, 0.2500)
Cl (0.7500, 0.7500, 0.7500)


An optimized crystal structure of BaTl2PdCl, computed with PBE-GGA.

Summary:
* space group: P4/mmm
* formation energy from raw total energies: -0.162 eV per atom

a b c (Å): 5.6859 5.6859 5.8943
angles (deg): 90.00 90.00 90.00
Element x y z (fractional)
Ba (0.0000, 0.0000, 0.0000)
Tl (0.0000, 0.5000, 0.5000)
Tl (0.5000, 0.0000, 0.5000)
Pd (0.5000, 0.5000, 0.0000)
Cl (0.0000, 0.0000, 0.5000)


An optimized crystal structure of Ba2PmCl8, computed with PBE-GGA.

Summary:
* space group: C2/m
* formation energy from raw total energies: -2.089 eV per atom

a b c (Å): 9.7682 9.7682 7.1024
angles (deg): 108.18 108.18 29.59
Element x y z (fractional)
Ba (0.1708, 0.1708, 0.1818)
Ba (0.8292, 0.8292, 0.8182)
Pm (0.5000, 0.5000, 0.5000)
Cl (0.0224, 0.0224, 0.3039)
Cl (0.2259, 0.2259, 0.8084)
Cl (0.3532, 0.3532, 0.5332)
Cl (0.4104, 0.4104, 0.0968)
Cl (0.5896, 0.5896, 0.9032)
Cl (0.6468, 0.6468, 0.4668)
Cl (0.7741, 0.7741, 0.1916)
Cl (0.9776, 0.9776, 0.6961)


An optimized crystal structure of BaPmCl2, computed with PBE-GGA.

Summary:
* space group: R-3m
* formation energy from raw total energies: -1.397 eV per atom

a b c (Å): 10.3960 10.3960 10.3960
angles (deg): 21.37 21.37 21.37
Element x y z (fractional)
Ba (0.0000, 0.0000, 0.0000)
Pm (0.5000, 0.5000, 0.5000)
Cl (0.1032, 0.1032, 0.1032)
Cl (0.8968, 0.8968, 0.8968)


An optimized crystal structure of Ba2PmCl6, computed with PBE-GGA.

Summary:
* space group: P4_2/mnm
* formation energy from raw total energies: -2.241 eV per atom

a b c (Å): 7.2349 7.2349 12.8538
angles (deg): 90.00 90.00 90.00
Element x y z (fractional)
Ba (0.0000, 0.0000, 0.1762)
Ba (0.0000, 0.0000, 0.8238)
Ba (0.5000, 0.5000, 0.3238)
Ba (0.5000, 0.5000, 0.6762)
Pm (0.0000, 0.0000, 0.5000)
Pm (0.5000, 0.5000, 0.0000)
Cl (0.2034, 0.2034, 0.3529)
Cl (0.2034, 0.2034, 0.6471)
Cl (0.2240, 0.2240, 0.0000)
Cl (0.2760, 0.7240, 0.5000)
Cl (0.2966, 0.7034, 0.1471)
Cl (0.2966, 0.7034, 0.8529)
Cl (0.7034, 0.2966, 0.1471)
Cl (0.7034, 0.2966, 0.8529)
Cl (0.7240, 0.2760, 0.5000)
Cl (0.7760, 0.7760, 0.0000)
Cl (0.7966, 0.7966, 0.3529)
Cl (0.7966, 0.7966, 0.6471)